[1]
First-principles (PBE) data for BRh3Pb after structural relaxation, as listed in Alexandria via LeMat-Bulk.

```
10
Lattice="-3.035 -4.155 2.054 3.213 1.086 2.705 -1.450 5.983 4.439" Properties=species:S:1:pos:R:3 pbc="T T T"
Pb -0.038 4.760 6.358
Pb -0.335 1.429 6.606
B 0.583 1.546 3.498
B 0.494 -1.339 5.026
Rh -1.130 -2.505 3.991
Rh 2.206 2.711 4.534
Rh -1.277 -1.109 1.578
Rh -2.973 2.035 5.989
Rh -0.614 3.068 4.271
Rh -0.859 0.230 4.242
```

Its formation energy from the elements is -0.14 eV per atom. The calculation puts the density of states at the Fermi level at 2.4 states/eV/f.u. The calculation puts the energy above the most stable polymorph in this dataset at 83 meV per atom. The total magnetization comes out at 0.00 Bohr magnetons per cell. Its space group is P-1 (2). The total energy comes out at -0.2436 Ha/atom.



[2]
First-principles (PBE) data for Ti2SbS2 after structural relaxation, as listed in Alexandria via LeMat-Bulk.

```
10
Lattice="7.383 0.000 0.000 0.000 7.383 0.000 0.000 0.000 3.155" Properties=species:S:1:pos:R:3 pbc="T T T"
Sb 0.000 0.000 0.000
Sb 3.692 3.692 0.000
S 0.986 4.677 1.577
S 4.677 6.397 1.577
S 6.397 2.706 1.577
S 2.706 0.986 1.577
Ti 2.673 6.364 0.000
Ti 6.364 4.710 0.000
Ti 4.710 1.019 0.000
Ti 1.019 2.673 0.000
```

The calculation puts the density of states at the Fermi level at 3.2 states/eV/f.u. The total magnetization comes out at 0.00 Bohr magnetons per cell. Its space group is P4/mbm (127). The total energy comes out at -0.2374 Ha/atom.



[3]
First-principles (PBE) data for PrAlZn3 after structural relaxation, as listed in Alexandria via LeMat-Bulk.

```
10
Lattice="-2.255 -3.234 -2.619 2.658 -4.389 3.132 -5.935 0.027 5.077" Properties=species:S:1:pos:R:3 pbc="T T T"
Pr -1.127 -1.617 -1.309
Pr -2.766 -3.798 2.795
Al 1.329 -2.195 1.566
Al -2.968 0.014 2.538
Zn 0.202 -3.812 0.256
Zn -4.095 -1.604 1.229
Zn 0.511 -3.286 3.618
Zn -0.819 -1.091 2.053
Zn -3.788 -1.076 4.590
Zn -2.458 -3.271 6.155
```

Its formation energy from the elements is 0.03 eV per atom. The calculation puts the density of states at the Fermi level at 1.7 states/eV/f.u. The calculation puts the energy above the most stable polymorph in this dataset at 0 meV per atom. The total magnetization comes out at 0.00 Bohr magnetons per cell. Its space group is Cmmm (65). The total energy comes out at -0.0896 Ha/atom.



[4]
First-principles (PBE) data for Sc12TiIn3 after structural relaxation, as listed in Alexandria via LeMat-Bulk.

```
16
Lattice="4.497 0.000 0.000 0.000 4.497 0.000 0.000 0.000 18.134" Properties=species:S:1:pos:R:3 pbc="T T T"
Sc 2.249 2.249 0.000
Sc 2.249 2.249 4.543
Sc 2.249 2.249 9.067
Sc 2.249 2.249 13.591
Sc 2.249 0.000 2.196
Sc 2.249 0.000 6.790
Sc 2.249 0.000 11.344
Sc 2.249 0.000 15.938
Sc 0.000 2.249 2.196
Sc 0.000 2.249 6.790
Sc 0.000 2.249 11.344
Sc 0.000 2.249 15.938
Ti 0.000 0.000 0.000
In 0.000 0.000 4.529
In 0.000 0.000 9.067
In 0.000 0.000 13.605
```

Its formation energy from the elements is -0.19 eV per atom. The calculation puts the density of states at the Fermi level at 20.7 states/eV/f.u. The total magnetization comes out at 2.79 Bohr magnetons per cell. Its space group is P4/mmm (123). The total energy comes out at -0.2186 Ha/atom.



[5]
First-principles (PBE) data for DyErSe2 after structural relaxation, as listed in Alexandria via LeMat-Bulk.

```
4
Lattice="-3.024 2.146 1.362 -3.663 -1.477 -0.077 -1.265 -2.505 6.867" Properties=species:S:1:pos:R:3 pbc="T T T"
Dy -3.962 -0.959 4.173
Er -5.738 -2.016 7.623
Se -1.499 -1.844 5.307
Se -1.995 -0.440 1.992
```

The calculation puts the density of states at the Fermi level at 0.9 states/eV/f.u. The calculation puts the energy above the most stable polymorph in this dataset at 0 meV per atom. The total magnetization comes out at 0.00 Bohr magnetons per cell. Its space group is R3m (160). The total energy comes out at -0.2116 Ha/atom.



[6]
First-principles (PBE) data for ErNpHg2 after structural relaxation, as listed in Alexandria via LeMat-Bulk.

```
4
Lattice="-1.704 1.919 2.135 -2.818 -1.591 -0.819 1.448 -5.879 6.439" Properties=species:S:1:pos:R:3 pbc="T T T"
Np -1.537 -2.776 3.877
Hg 1.102 -4.476 4.902
Hg 0.346 -1.403 1.537
Er -2.261 0.164 0.658
```

Its formation energy from the elements is -0.06 eV per atom. The calculation puts the density of states at the Fermi level at 8.5 states/eV/f.u. The calculation puts the energy above the most stable polymorph in this dataset at 0 meV per atom. The total magnetization comes out at 4.39 Bohr magnetons per cell. Its space group is P4/mmm (123). The total energy comes out at -0.1685 Ha/atom.



[7]
First-principles (PBE) data for TcSnBi3 after structural relaxation, as listed in Alexandria via LeMat-Bulk.

```
5
Lattice="-2.050 -3.363 3.609 0.887 -4.096 -3.313 4.853 -0.673 2.130" Properties=species:S:1:pos:R:3 pbc="T T T"
Tc 0.000 0.000 0.000
Bi 0.443 -2.048 -1.657
Bi 2.426 -0.336 1.065
Bi -1.025 -1.682 1.804
Sn 1.845 -4.066 1.213
```

Its formation energy from the elements is 0.53 eV per atom. The calculation puts the density of states at the Fermi level at 4.3 states/eV/f.u. The calculation puts the energy above the most stable polymorph in this dataset at 0 meV per atom. The total magnetization comes out at 0.00 Bohr magnetons per cell. Its space group is Pm-3m (221). The total energy comes out at -0.1717 Ha/atom.



[8]
First-principles (PBE) data for YHo4Sc5 after structural relaxation, as listed in Alexandria via LeMat-Bulk.

```
10
Lattice="-4.770 -1.488 -1.867 3.971 0.559 -10.594 1.679 -4.192 6.672" Properties=species:S:1:pos:R:3 pbc="T T T"
Y 3.265 -4.377 -4.855
Ho 0.001 -3.697 2.944
Ho 1.321 -1.001 -2.577
Ho 0.879 -1.424 -8.732
Ho -0.441 -4.120 -3.211
Sc -1.705 -4.031 -0.051
Sc 0.671 -3.591 -6.474
Sc 0.209 -1.530 0.686
Sc 1.279 -4.657 0.442
Sc 2.585 -1.090 -5.737
```

Its formation energy from the elements is 0.26 eV per atom. The calculation puts the density of states at the Fermi level at 20.6 states/eV/f.u. The calculation puts the energy above the most stable polymorph in this dataset at 0 meV per atom. The total magnetization comes out at 0.00 Bohr magnetons per cell. Its space group is C2/m (12). The total energy comes out at -0.1980 Ha/atom.



[9]
First-principles (PBE) data for Pa2TiRh after structural relaxation, as listed in Alexandria via LeMat-Bulk.

```
4
Lattice="-1.409 2.745 1.885 -0.821 -2.270 2.692 5.848 1.125 2.732" Properties=species:S:1:pos:R:3 pbc="T T T"
Pa 4.532 0.872 2.117
Pa 1.316 0.253 0.615
Rh -1.115 0.237 2.289
Ti 1.809 0.800 3.654
```

Its formation energy from the elements is -0.15 eV per atom. The calculation puts the density of states at the Fermi level at 7.9 states/eV/f.u. The calculation puts the energy above the most stable polymorph in this dataset at 0 meV per atom. The total magnetization comes out at 1.38 Bohr magnetons per cell. Its space group is P4/mmm (123). The total energy comes out at -0.3200 Ha/atom.



[10]
First-principles (PBE) data for DyPaOsSe after structural relaxation, as listed in Alexandria via LeMat-Bulk.

```
4
Lattice="-0.648 0.086 -3.905 -2.911 -1.057 2.467 -0.686 7.209 2.278" Properties=species:S:1:pos:R:3 pbc="T T T"
Dy -1.940 2.147 -2.018
Pa -2.471 5.968 2.168
Os -2.943 -0.291 2.109
Se -1.126 4.392 -0.097
```

The calculation puts the density of states at the Fermi level at 1.7 states/eV/f.u. The total magnetization comes out at 0.00 Bohr magnetons per cell. Its space group is R3m (160). The total energy comes out at -0.2960 Ha/atom.



[11]
First-principles (PBE) data for Ca2SiW after structural relaxation, as listed in Alexandria via LeMat-Bulk.

```
4
Lattice="-2.301 2.471 -0.545 -2.516 -2.156 0.849 0.664 2.393 8.042" Properties=species:S:1:pos:R:3 pbc="T T T"
Ca 0.617 2.225 7.478
Ca -2.195 0.928 2.742
Si 0.383 1.382 4.645
W -1.963 1.762 5.545
```

The calculation puts the density of states at the Fermi level at 1.9 states/eV/f.u. The total magnetization comes out at 0.00 Bohr magnetons per cell. Its space group is P4mm (99). The total energy comes out at -0.2016 Ha/atom.



[12]
First-principles (PBE) data for NaNdSnHg after structural relaxation, as listed in Alexandria via LeMat-Bulk.

```
4
Lattice="-4.007 -0.335 -0.719 0.526 -4.969 -0.619 -0.872 -0.740 5.199" Properties=species:S:1:pos:R:3 pbc="T T T"
Na -2.439 -0.537 2.240
Nd -1.740 -2.652 -0.669
Sn 0.000 0.000 0.000
Hg -0.173 -2.855 2.290
```

Its formation energy from the elements is -0.44 eV per atom. The calculation puts the density of states at the Fermi level at 1.6 states/eV/f.u. The calculation puts the energy above the most stable polymorph in this dataset at 22 meV per atom. The total magnetization comes out at 0.00 Bohr magnetons per cell. Its space group is Pmmm (47). The total energy comes out at -0.1115 Ha/atom.